CaMn2O5 after structural relaxation. Source: the Alexandria database, functional GGA+U.

## Properties
As for the volume: 108 Å³/f.u. The energy above the most stable polymorph in this dataset comes out at 0.096 eV per atom. The total moment comes out at 6.0 μB per formula unit. For the density of states at the Fermi level, the calculation gives 6.137 states/eV/cell.

POSCAR file:
```
CaMn2O5
1.0
3.699 0.000 0.000
0.000 5.498 0.000
0.000 0.000 10.632
O Ca Mn
10 2 4
Direct
0.000 0.677 0.031
0.500 0.984 0.600
0.000 0.724 0.713
0.500 0.016 0.100
0.500 0.499 0.883
0.000 0.323 0.531
0.500 0.501 0.383
0.000 0.754 0.273
0.000 0.246 0.773
0.000 0.276 0.213
0.500 0.516 0.625
0.500 0.484 0.125
0.000 0.040 0.639
0.000 0.960 0.139
0.000 0.554 0.865
0.000 0.446 0.365
```